First-principles (PBE) data for crystalline Cu2AgCl at its relaxed geometry, as listed in Alexandria.

POSCAR file:
```
Cu2AgCl
1.0
0.0000 3.1863 3.1863
3.1863 0.0000 3.1863
3.1863 3.1863 0.0000
Cu Ag Cl
2 1 1
Direct
0.2500 0.2500 0.2500
0.7500 0.7500 0.7500
0.0000 0.0000 0.0000
0.5000 0.5000 0.5000
```

Properties
- Excess energy over the best structure of this formula in the dataset: 401 meV per atom
- Calculated total energy: -2.84 eV per atom
- Crystal system: cubic
- SG: No. 225
- D(E_F): 0.164 states/eV/atom
- Calculated density: 6.94 Mg/m³
- Uncorrected formation energy: 0.3861 eV/atom

First-principles (PBE) data for crystalline CeErMgOs at its relaxed geometry, as listed in Alexandria.

POSCAR file:
```
CeErMgOs
1.0
0.0000 3.5430 3.5430
3.5430 0.0000 3.5430
3.5430 3.5430 0.0000
Ce Er Mg Os
1 1 1 1
Direct
0.0000 0.0000 0.0000
0.5000 0.5000 0.5000
0.2500 0.2500 0.2500
0.7500 0.7500 0.7500
```

Properties
- Calculated total energy: -5.92 eV per atom
- Crystal system: cubic
- SG: No. 216
- D(E_F): 0.934 states/eV/atom
- Calculated density: 9.74 Mg/m³
- Formation energy: -0.09 eV per atom

First-principles (PBE) data for crystalline K2CePaN4 at its relaxed geometry, as listed in Alexandria.

POSCAR file:
```
K2CePaN4
1.0
6.0859 0.0000 0.0000
0.0000 3.7118 0.0000
-1.8085 0.0000 6.4482
K Ce Pa N
2 1 1 4
Direct
0.0000 0.0000 0.0000
0.5000 0.5000 0.0000
0.0000 0.5000 0.5000
0.5000 0.0000 0.5000
0.2479 0.0000 0.6690
0.2759 0.5000 0.3324
0.7241 0.5000 0.6676
0.7521 0.0000 0.3310
```

Properties
- Calculated total energy: -7.28 eV per atom
- Crystal system: monoclinic
- SG: No. 10
- D(E_F): 0.643 states/eV/atom
- Calculated density: 5.76 Mg/m³
- Uncorrected formation energy: -0.9105 eV/atom

First-principles (PBE) data for crystalline LiNdLuCo at its relaxed geometry, as listed in Alexandria.

POSCAR file:
```
LiNdLuCo
1.0
0.0000 3.4603 3.4603
3.4603 0.0000 3.4603
3.4603 3.4603 0.0000
Li Nd Lu Co
1 1 1 1
Direct
0.0000 0.0000 0.0000
0.2500 0.2500 0.2500
0.7500 0.7500 0.7500
0.5000 0.5000 0.5000
```

Properties
- Calculated total energy: -4.62 eV per atom
- Crystal system: cubic
- SG: No. 216
- D(E_F): 0.866 states/eV/atom
- Calculated density: 7.72 Mg/m³
- Formation energy: -0.04 eV per atom

First-principles (PBE) data for crystalline CeHo5Er2 at its relaxed geometry, as listed in Alexandria.

POSCAR file:
```
CeHo5Er2
1.0
7.0412 0.0000 0.0000
0.0000 14.0835 0.0000
0.0000 0.0000 4.9741
Ce Ho Er
2 10 4
Direct
0.0000 0.0000 0.0000
0.5000 0.5000 0.0000
0.0000 0.5000 0.0000
0.0014 0.2502 0.0000
0.2473 0.1240 0.5000
0.2527 0.6240 0.5000
0.4986 0.7502 0.0000
0.5000 0.0000 0.0000
0.5014 0.2498 0.0000
0.7473 0.3760 0.5000
0.7527 0.8760 0.5000
0.9986 0.7498 0.0000
0.2454 0.8759 0.5000
0.2546 0.3759 0.5000
0.7454 0.6241 0.5000
0.7546 0.1241 0.5000
```

Properties
- Calculated total energy: -4.70 eV per atom
- Crystal system: orthorhombic
- SG: No. 55
- D(E_F): 1.508 states/eV/atom
- Calculated density: 8.75 Mg/m³
- Formation energy: 0.04 eV per atom

First-principles (PBE) data for crystalline AgBi2Cl8 at its relaxed geometry, as listed in Alexandria.

POSCAR file:
```
AgBi2Cl8
1.0
4.0733 -6.1352 0.0000
4.0733 6.1352 0.0000
-2.3377 0.0000 5.8876
Ag Bi Cl
1 2 8
Direct
0.0000 0.0000 0.0000
0.3041 0.6959 0.5000
0.6959 0.3041 0.5000
0.0865 0.3555 0.6329
0.1961 0.8039 0.0000
0.3433 0.3433 0.2086
0.3555 0.0865 0.6329
0.6445 0.9135 0.3671
0.6567 0.6567 0.7914
0.8039 0.1961 0.0000
0.9135 0.6445 0.3671
```

Properties
- Excess energy over the best structure of this formula in the dataset: 136 meV per atom
- Calculated total energy: -2.97 eV per atom
- Crystal system: monoclinic
- SG: No. 12
- D(E_F): 0.248 states/eV/atom
- Calculated density: 4.57 Mg/m³
- Uncorrected formation energy: -0.6665 eV/atom

First-principles (PBE) data for crystalline SrAcLaGd at its relaxed geometry, as listed in Alexandria.

POSCAR file:
```
SrAcLaGd
1.0
0.0000 4.3531 4.3531
4.3531 0.0000 4.3531
4.3531 4.3531 0.0000
Sr Ac La Gd
1 1 1 1
Direct
0.0000 0.0000 0.0000
0.7500 0.7500 0.7500
0.2500 0.2500 0.2500
0.5000 0.5000 0.5000
```

Properties
- Calculated total energy: -6.03 eV per atom
- Crystal system: cubic
- SG: No. 216
- D(E_F): 2.270 states/eV/atom
- Calculated density: 6.15 Mg/m³
- Formation energy: 0.17 eV per atom

First-principles (PBE) data for crystalline NaHfTl at its relaxed geometry, as listed in Alexandria.

POSCAR file:
```
NaHfTl
1.0
8.7502 0.0000 0.0000
0.0000 3.1276 0.0000
0.0000 0.0000 10.9866
Na Hf Tl
4 4 4
Direct
0.1624 0.2500 0.0823
0.3376 0.7500 0.5823
0.6624 0.2500 0.4177
0.8376 0.7500 0.9177
0.0597 0.2500 0.3924
0.4403 0.7500 0.8924
0.5597 0.2500 0.1076
0.9403 0.7500 0.6076
0.1493 0.2500 0.7922
0.3507 0.7500 0.2922
0.6493 0.2500 0.7078
0.8507 0.7500 0.2078
```

Properties
- Excess energy over the best structure of this formula in the dataset: 142 meV per atom
- Calculated total energy: -4.42 eV per atom
- Crystal system: orthorhombic
- SG: No. 62
- D(E_F): 0.704 states/eV/atom
- Calculated density: 8.97 Mg/m³
- Formation energy: 0.13 eV per atom